A relaxed Al4HgSb crystal, computed with PBE.

The calculation puts the final energy at -2.998 eV per atom. As for the density of states at the Fermi level: 0.63 states/eV per atom.

The space group is F-43m (No. 216) and the conventional cell measures 7.889, 7.889 and 7.889 Å, with angles of 90.00, 90.00 and 90.00 degrees. Symmetry generates all atoms from Al at (0.125, 0.125, 0.125), Hg at (0.250, 0.250, 0.750) and Sb at (0.000, 0.000, 0.500).

---

A relaxed Sc2TiAl crystal, computed with PBE.

The calculation puts the final energy at -5.914 eV per atom. The formation energy is 161 meV per atom. As for the density of states at the Fermi level: 1.02 states/eV per atom.

The space group is R-3m (No. 166, hexagonal axes) and the conventional cell measures 3.0847, 3.0847 and 30.6667 Å, with angles of 90.00, 90.00 and 120.00 degrees. Symmetry generates all atoms from Sc at (0.0000, 0.0000, 0.0903), Ti at (0.0000, 0.0000, 0.0000) and Al at (0.0000, 0.0000, 0.5000).

---

A relaxed ZrCuAs2 crystal, computed with PBE.

The calculation puts the final energy at -5.821 eV per atom. The formation energy is -335 meV per atom. As for the density of states at the Fermi level: 0.59 states/eV per atom.

The space group is P4/mmm (No. 123) and the conventional cell measures 3.502, 3.502 and 5.645 Å, with angles of 90.00, 90.00 and 90.00 degrees. Symmetry generates all atoms from Zr at (0.000, 0.000, 0.000), Cu at (0.000, 0.000, 0.500) and As at (0.500, 0.500, 0.263).

---

A relaxed Pm5Ge2Te2 crystal, computed with PBE.

The calculation puts the final energy at -5.452 eV per atom. As for the density of states at the Fermi level: 0.89 states/eV per atom.

The space group is Cmce (No. 64) and the conventional cell measures 15.637, 8.065 and 8.112 Å, with angles of 90.00, 90.00 and 90.00 degrees. Symmetry generates all atoms from Pm at (0.000, 0.000, 0.000), Pm at (0.127, 0.165, 0.335), Ge at (0.000, 0.137, 0.635) and Te at (0.204, 0.000, 0.000).

---

A relaxed InI2Br crystal, computed with PBE.

The calculation puts the final energy at -2.407 eV per atom. For the offset from the most stable computed form, the calculation gives 0.056 eV per atom.

The space group is P1 (No. 1) and the conventional cell measures 4.000, 7.348 and 7.372 Å, with angles of 115.66, 104.79 and 90.56 degrees. Symmetry generates all atoms from In at (0.000, 0.000, 0.000), I at (0.157, 0.377, 0.326), I at (0.536, 0.753, 0.081) and Br at (0.373, 0.015, 0.736).

---

A relaxed Tb2ErGa2 crystal, computed with PBE.

The calculation puts the final energy at -4.446 eV per atom. The formation energy is -471 meV per atom. For the offset from the most stable computed form, the calculation gives 0.059 eV per atom. As for the density of states at the Fermi level: 0.62 states/eV per atom.

The space group is C2/m (No. 12) and the conventional cell measures 11.859, 4.670 and 10.674 Å, with angles of 90.00, 120.77 and 90.00 degrees. Symmetry generates all atoms from Tb at (0.026, 0.000, 0.187), Tb at (0.187, 0.000, 0.598), Er at (0.203, 0.500, 0.853), Ga at (0.052, 0.500, 0.415) and Ga at (0.127, 0.500, 0.078).

---

A relaxed CsNaTl2Au crystal, computed with PBE.

The calculation puts the final energy at -2.112 eV per atom. The formation energy is -76 meV per atom. For the offset from the most stable computed form, the calculation gives 0.072 eV per atom. As for the density of states at the Fermi level: 0.50 states/eV per atom.

The space group is P4/mmm (No. 123) and the conventional cell measures 5.677, 5.677 and 5.884 Å, with angles of 90.00, 90.00 and 90.00 degrees. Symmetry generates all atoms from Cs at (0.000, 0.000, 0.000), Na at (0.500, 0.500, 0.000), Tl at (0.000, 0.500, 0.500) and Au at (0.500, 0.500, 0.500).

---

final energy of number 2 (Sc2TiAl)? -5.914 eV per atom

---

Which of these has the highest final energy? CsNaTl2Au

---

final energy of number 6 (Tb2ErGa2)? -4.446 eV per atom

---

What did the third record say?
A relaxed ZrCuAs2 crystal, computed with PBE.

The calculation puts the final energy at -5.821 eV per atom. The formation energy is -335 meV per atom. As for the density of states at the Fermi level: 0.59 states/eV per atom.

The space group is P4/mmm (No. 123) and the conventional cell measures 3.502, 3.502 and 5.645 Å, with angles of 90.00, 90.00 and 90.00 degrees. Symmetry generates all atoms from Zr at (0.000, 0.000, 0.000), Cu at (0.000, 0.000, 0.500) and As at (0.500, 0.500, 0.263).